Entry 1:
! Sm3Pd3Au, optimized geometry, DFT GGA-PBE; values from VASP
! - energy of formation (meV/atom) = -814.7
! - N(E_F) (states/eV/cell) = 8.80
! - space group = C2/m
&SYSTEM
  ibrav = 0, nat = 14, ntyp = 3
/
ATOMIC_SPECIES
Sm 150.36 Sm.upf
Pd 106.42 Pd.upf
Au 196.97 Au.upf
CELL_PARAMETERS angstrom
5.355 -1.957 0.000
5.355 1.957 0.000
-3.980 0.000 15.420
ATOMIC_POSITIONS angstrom
Sm -1.432 0.000 5.950
Sm -2.505 0.000 14.269
Sm 1.482 0.000 3.404
Sm 5.248 0.000 12.016
Sm 9.235 0.000 1.151
Sm 8.162 0.000 9.470
Pd 1.993 0.000 7.304
Pd 0.465 0.000 14.279
Pd 4.417 0.000 3.429
Pd 2.313 0.000 11.991
Pd 6.265 0.000 1.142
Pd 4.737 0.000 8.116
Au 0.490 0.000 9.769
Au 6.240 0.000 5.651

***

Entry 2:
! SmPdAu4, optimized geometry, DFT GGA-PBE; values from VASP
! - polymorph energy (0 for the lowest one) (meV per atom) = 94.0
! - energy of formation (meV/atom) = -398.2
! - N(E_F) (states/eV/cell) = 1.85
! - space group = Pmmm
&SYSTEM
  ibrav = 0, nat = 6, ntyp = 3
/
ATOMIC_SPECIES
Sm 150.36 Sm.upf
Pd 106.42 Pd.upf
Au 196.97 Au.upf
CELL_PARAMETERS angstrom
3.585 0.000 0.000
0.000 3.718 0.000
0.000 0.000 8.888
ATOMIC_POSITIONS angstrom
Sm 0.000 0.000 0.000
Pd 1.793 1.859 4.444
Au 0.000 0.000 3.045
Au 0.000 0.000 5.842
Au 1.793 1.859 1.656
Au 1.793 1.859 7.231

***

Entry 3:
! SmPd4Au2, optimized geometry, DFT GGA-PBE; values from VASP
! - polymorph energy (0 for the lowest one) (meV per atom) = 0.0
! - energy of formation (meV/atom) = -475.1
! - N(E_F) (states/eV/cell) = 2.59
! - space group = C2/m
&SYSTEM
  ibrav = 0, nat = 7, ntyp = 3
/
ATOMIC_SPECIES
Sm 150.36 Sm.upf
Pd 106.42 Pd.upf
Au 196.97 Au.upf
CELL_PARAMETERS angstrom
4.378 -3.416 0.000
4.378 3.416 0.000
-3.404 0.000 4.302
ATOMIC_POSITIONS angstrom
Sm 0.000 0.000 0.000
Pd 3.745 -2.049 3.010
Pd 1.607 2.049 1.292
Pd 3.745 2.049 3.010
Pd 1.607 -2.049 1.292
Au 3.527 0.000 1.073
Au 1.825 0.000 3.228

***

Entry 4:
! SmPd3Au7, optimized geometry, DFT GGA-PBE; values from VASP
! - energy of formation (meV/atom) = -101.3
! - N(E_F) (states/eV/cell) = 4.37
! - space group = C2/m
&SYSTEM
  ibrav = 0, nat = 11, ntyp = 3
/
ATOMIC_SPECIES
Sm 150.36 Sm.upf
Pd 106.42 Pd.upf
Au 196.97 Au.upf
CELL_PARAMETERS angstrom
4.224 -4.951 0.000
4.224 4.951 0.000
-2.042 0.000 5.298
ATOMIC_POSITIONS angstrom
Sm 0.000 0.000 0.000
Pd 3.202 2.306 2.649
Pd 4.224 0.000 0.000
Pd 3.202 -2.306 2.649
Au -1.021 0.000 2.649
Au 1.065 2.317 4.364
Au 1.771 0.000 2.420
Au 5.340 2.317 0.934
Au 1.065 -2.317 4.364
Au 4.634 0.000 2.878
Au 5.340 -2.317 0.934

***

| no. | calculated volume (Å³/atom) |
| --- | --- |
| 1 | 23.09 |
| 2 | 19.74 |
| 3 | 18.38 |
| 4 | 20.14 |